No. 1
ScSiBr2: optimized geometry, PBEsol.

Results
- DOS(E_F) (states/eV/cell) = 0.921
- ΔE_f (raw) (meV/atom) = -742
- VASP energy (eV/atom) = -4.765
- crystal system = monoclinic
- energy above the most stable polymorph in this dataset (meV per atom) = 0.0

a b c (Å): 3.332 4.245 7.366
angles (deg): 93.57 90.00 90.00
Fractional coordinates of all 4 atoms:
1 Si 0.500 0.222 0.681
2 Sc 0.000 0.715 0.579
3 Br 0.000 0.005 0.926
4 Br 0.500 0.558 0.313

---

No. 2
ScSiBr2: optimized geometry, PBEsol.

Results
- DOS(E_F) (states/eV/cell) = 2.474
- ΔE_f (raw) (meV/atom) = -629
- VASP energy (eV/atom) = -4.652
- crystal system = orthorhombic
- energy above the most stable polymorph in this dataset (meV per atom) = 113.0

a b c (Å): 3.687 3.971 7.568
angles (deg): 105.21 104.10 90.00
Fractional coordinates of all 4 atoms:
1 Br 0.651 0.651 0.302
2 Br 0.349 0.349 0.698
3 Si 0.500 0.000 0.000
4 Sc 0.000 0.500 0.000

---

No. 3
ScSi2Br: optimized geometry, PBEsol.

Results
- DOS(E_F) (states/eV/cell) = 1.458
- ΔE_f (raw) (meV/atom) = -208
- VASP energy (eV/atom) = -5.201
- crystal system = orthorhombic
- energy above the most stable polymorph in this dataset (meV per atom) = 179.5

a b c (Å): 3.197 4.245 6.178
angles (deg): 110.09 104.99 90.00
Fractional coordinates of all 4 atoms:
1 Si 0.779 0.779 0.558
2 Si 0.221 0.221 0.442
3 Br 0.000 0.500 0.000
4 Sc 0.500 0.000 0.000

---

No. 4
ScSi2Br: optimized geometry, PBEsol.

Results
- DOS(E_F) (states/eV/cell) = 2.224
- ΔE_f (raw) (meV/atom) = 33
- VASP energy (eV/atom) = -4.960
- crystal system = tetragonal
- energy above the most stable polymorph in this dataset (meV per atom) = 420.5

a b c (Å): 3.087 4.942 4.942
angles (deg): 90.00 90.00 90.00
Fractional coordinates of all 4 atoms:
1 Sc 0.500 0.000 0.000
2 Si 0.000 0.500 0.000
3 Si 0.000 0.000 0.500
4 Br 0.500 0.500 0.500

---

No. 5
ScSiBr2: optimized geometry, PBEsol.

Results
- DOS(E_F) (states/eV/cell) = 0.742
- ΔE_f (raw) (meV/atom) = -668
- VASP energy (eV/atom) = -4.691
- crystal system = tetragonal
- energy above the most stable polymorph in this dataset (meV per atom) = 74.0

a b c (Å): 3.459 3.459 7.471
angles (deg): 90.00 90.00 90.00
Fractional coordinates of all 4 atoms:
1 Si 0.500 0.500 0.704
2 Br 0.500 0.500 0.328
3 Br 0.000 0.000 0.926
4 Sc 0.000 0.000 0.542

---

No. 6
ScSiBr2: optimized geometry, PBEsol.

Results
- DOS(E_F) (states/eV/cell) = 1.913
- ΔE_f (raw) (meV/atom) = -722
- VASP energy (eV/atom) = -4.745
- crystal system = monoclinic
- energy above the most stable polymorph in this dataset (meV per atom) = 19.3

a b c (Å): 3.334 4.576 7.153
angles (deg): 97.40 103.48 90.00
Fractional coordinates of all 4 atoms:
1 Si 0.500 0.000 0.000
2 Br 0.652 0.709 0.303
3 Br 0.348 0.291 0.697
4 Sc 0.000 0.500 0.000

---

No. 7
ScSi2Br: optimized geometry, PBEsol.

Results
- DOS(E_F) (states/eV/cell) = 0.747
- ΔE_f (raw) (meV/atom) = -252
- VASP energy (eV/atom) = -5.244
- crystal system = monoclinic
- energy above the most stable polymorph in this dataset (meV per atom) = 136.4

a b c (Å): 3.692 5.256 5.211
angles (deg): 90.11 90.00 110.56
Fractional coordinates of all 4 atoms:
1 Br 0.500 0.000 0.000
2 Si 0.303 0.606 0.429
3 Si 0.697 0.394 0.571
4 Sc 0.000 0.000 0.500

---

No. 8
ScSiBr2: optimized geometry, PBEsol.

Results
- DOS(E_F) (states/eV/cell) = 2.007
- ΔE_f (raw) (meV/atom) = -517
- VASP energy (eV/atom) = -4.540
- crystal system = trigonal
- energy above the most stable polymorph in this dataset (meV per atom) = 224.8

a b c (Å): 3.390 3.390 9.796
angles (deg): 80.04 80.04 60.00
Fractional coordinates of all 4 atoms:
1 Si 0.000 0.000 0.000
2 Br 0.229 0.229 0.313
3 Br 0.771 0.771 0.687
4 Sc 0.500 0.500 0.500